Density functional theory data (PBE) for crystalline Cs2Pm2F7 at its relaxed geometry.

Unit cell a=7.8739 b=8.5412 c=7.3053 alpha=90.00 beta=90.00 gamma=90.00
With the nearest neighbours (Å) after each atom.
Space group Cmmm (No. 65)
Inequivalent atoms, fractional coordinates:
Cs  0.2438  0.0000  0.0000  6 F 3.04-3.17
Pm  0.0000  0.2276  0.5000  7 F 2.33-2.37
F  0.0000  0.0000  0.3228  2 Pm 2.34, 1 F 2.59
F  0.0000  0.5000  0.5000  2 Pm 2.33
F  0.2500  0.2500  0.3204  2 Pm 2.37, 1 F 2.62

Values from the calculation:
N(E_F) in states/eV per atom: 0.201
Formation energy without anion corrections in meV/atom: -3427
Energy in eV/atom: -5.637



Density functional theory data (PBE) for crystalline Cs3PmF6 at its relaxed geometry.

Unit cell a=7.0283 b=7.2471 c=12.2083 alpha=90.00 beta=124.95 gamma=90.00
With the nearest neighbours (Å) after each atom.
Space group P2_1/c (No. 14)
Inequivalent atoms, fractional coordinates:
Cs  0.0000  0.0000  0.0000  6 F 2.92-3.01
Cs  0.2347  0.0416  0.7468  5 F 3.00-3.29
Pm  0.5000  0.0000  0.5000  6 F 2.27-2.28
F  0.1954  0.1734  0.4583  1 Pm 2.27
F  0.2683  0.7450  0.4349  1 Pm 2.28
F  0.3855  0.0519  0.2862  1 Pm 2.28

Values from the calculation:
N(E_F) in states/eV per atom: 0.000
Formation energy without anion corrections in meV/atom: -3297
Energy in eV/atom: -5.151



Density functional theory data (PBE) for crystalline CsPmF6 at its relaxed geometry.

Unit cell a=4.0589 b=4.0589 c=8.1525 alpha=90.00 beta=90.00 gamma=90.00
With the nearest neighbours (Å) after each atom.
Space group P4/mmm (No. 123)
Inequivalent atoms, fractional coordinates:
Cs  0.0000  0.0000  0.0000  8 F 2.98
Pm  0.0000  0.0000  0.5000  8 F 2.40
F  0.0000  0.5000  0.3418  2 Pm 2.40, 1 F 2.58
F  0.5000  0.5000  0.1002  1 F 1.63

Values from the calculation:
N(E_F) in states/eV per atom: 0.565
Formation energy without anion corrections in meV/atom: -2633
Energy in eV/atom: -4.737



Density functional theory data (PBE) for crystalline CsPmF2 at its relaxed geometry.

Unit cell a=4.1513 b=4.1513 c=22.8628 alpha=90.00 beta=90.00 gamma=120.00
With the nearest neighbours (Å) after each atom.
Space group R-3m (No. 166, hexagonal axes)
Inequivalent atoms, fractional coordinates:
Cs  0.0000  0.0000  0.0000  2 F 3.34
Pm  0.0000  0.0000  0.5000  6 F 2.44
F  0.0000  0.0000  0.1462  3 Pm 2.44, 3 F 2.57

Values from the calculation:
N(E_F) in states/eV per atom: 0.305
Formation energy without anion corrections in meV/atom: -2499
Energy in eV/atom: -4.836